Ag2SbAu, optimized geometry, DFT PBE; Fermi-level density of states = 0.264 states/eV/atom; symmetry = I-4m2 (119); total DFT energy (no corrections) = -3.248 eV per atom
1.0
5.235 -0.081 -0.027
1.730 4.942 0.027
-3.469 -2.450 3.062
Sb Au Ag
1 1 2
Direct
0.750 0.250 0.500 Sb
0.500 0.500 0.000 Au
0.000 0.000 0.000 Ag
0.250 0.750 0.500 Ag